(1)
{
  "formula": "MnAlN2",
  "functional": "SCAN",
  "state": "PBEsol geometry",
  "lattice": [[2.9551, 0.0000, 0.0000], [1.4776, 2.5592, 0.0000], [1.4776, 0.8531, 5.5698]],
  "species": ["Mn", "Al", "N", "N"],
  "fractional_positions": [[0.0000, 0.0000, 0.0000], [0.5000, 0.5000, 0.5000], [0.1046, 0.1046, 0.6862], [0.8954, 0.8954, 0.3138]],
  "space_group": "R-3m (166)",
  "formation_energy_uncorrected_ev_per_atom": -0.349
}

---

(2)
{
  "formula": "MnAlSN2",
  "functional": "SCAN",
  "state": "PBEsol geometry",
  "lattice": [[-2.7612, 1.3872, -1.7384], [-2.0721, -0.5980, 2.8141], [1.1054, 4.3890, 1.7466]],
  "species": ["S", "N", "N", "Mn", "Al"],
  "fractional_positions": [[0.0000, 0.0000, 0.5000], [0.5000, 0.0000, 0.0000], [0.0000, 0.5000, 0.0000], [0.0000, 0.0000, 0.0000], [0.5000, 0.5000, 0.5000]],
  "space_group": "P4/mmm (123)",
  "formation_energy_uncorrected_ev_per_atom": 0.357
}

---

Copy entry 1 word for word.
{
  "formula": "MnAlN2",
  "functional": "SCAN",
  "state": "PBEsol geometry",
  "lattice": [[2.9551, 0.0000, 0.0000], [1.4776, 2.5592, 0.0000], [1.4776, 0.8531, 5.5698]],
  "species": ["Mn", "Al", "N", "N"],
  "fractional_positions": [[0.0000, 0.0000, 0.0000], [0.5000, 0.5000, 0.5000], [0.1046, 0.1046, 0.6862], [0.8954, 0.8954, 0.3138]],
  "space_group": "R-3m (166)",
  "formation_energy_uncorrected_ev_per_atom": -0.349
}